8
Lattice="-3.6997 -0.4649 -0.1010 0.2630 -0.9714 -5.1606 0.6174 -5.1274 0.9865" Properties=species:S:1:pos:R:3 comment="Fe5Pt3 PBEsol relaxed" total_magnetization_mub_per_atom=1.821 sg="Cmmm (65)" total_energy_ev_per_atom=-8.31 pbc="T T T"
Fe 0.3087 -2.5637 0.4933
Pt -1.5017 -2.2025 -3.7341
Pt -1.3176 -4.3612 -0.5410
Fe 0.1315 -0.4857 -2.5803
Pt 0.4402 -3.0494 -2.0870
Fe -1.1911 -4.7958 -3.1737
Fe 0.0000 0.0000 0.0000
Fe -1.6282 -1.7679 -1.1014

24
Lattice="-3.3705 -3.1425 -0.9374 1.8733 0.2245 4.3075 -10.6900 10.2380 4.1153" Properties=species:S:1:pos:R:3 comment="Fe2Pt PBEsol relaxed" total_magnetization_mub_per_atom=1.663 sg="P6_3/mmc (194)" total_energy_ev_per_atom=-8.35 pbc="T T T"
Fe -8.7167 5.7541 6.0578
Fe 0.9366 0.1122 2.1537
Fe -5.1833 -0.0310 0.9513
Pt -10.6458 6.6216 4.2846
Fe -4.2314 0.0831 3.1402
Fe -6.0936 3.6600 3.7427
Fe -7.9559 7.2369 4.3452
Pt -4.3427 4.1591 1.6718
Pt -1.5414 0.6984 3.2008
Fe -1.6852 -1.5712 -0.4687
Pt -8.6343 4.6951 3.5102
Fe -3.4705 1.5659 1.4277
Fe -0.7486 -1.4590 1.6851
Fe -9.2288 8.0608 6.1603
Pt -3.5529 2.6249 3.9752
Fe -4.4084 5.2312 4.2114
Fe -6.5555 5.5005 5.1311
Fe -5.6317 1.8195 2.3543
Fe -2.9584 -0.7408 1.3252
Fe -7.0039 7.3510 6.5341
Pt -9.6877 9.2781 3.7295
Pt -1.0023 0.9599 0.3858
Fe -7.0302 3.5478 1.5890
Pt -6.3473 6.0789 2.4435

2
Lattice="-2.2654 0.2097 1.4149 1.2427 -1.0238 2.1414 0.9837 3.4262 1.0673" Properties=species:S:1:pos:R:3 comment="FePt PBEsol relaxed" total_magnetization_mub_per_atom=1.600 sg="P4/mmm (123)" total_energy_ev_per_atom=-8.15 pbc="T T T"
Fe 0.0000 0.0000 0.0000
Pt -0.0195 1.3061 2.3118

4
Lattice="-2.7485 0.3072 -0.1841 -0.5111 -4.3409 0.3865 1.3826 2.4370 4.2910" Properties=species:S:1:pos:R:3 comment="FePt PBEsol relaxed" total_magnetization_mub_per_atom=1.639 sg="Imma (74)" total_energy_ev_per_atom=-8.03 pbc="T T T"
Fe -1.6799 -0.6293 3.1644
Pt -1.8117 -3.0102 1.1579
Fe -0.1971 -0.9673 1.3289
Pt -0.0654 1.4135 3.3355

3
Lattice="2.6022 0.0000 0.0000 0.0000 4.1148 0.0000 0.0000 -2.0574 3.5635" Properties=species:S:1:pos:R:3 comment="Fe2Pt PBEsol relaxed" total_magnetization_mub_per_atom=1.906 sg="P-3m1 (164)" total_energy_ev_per_atom=-8.31 pbc="T T T"
Pt 0.0000 0.0000 0.0000
Fe 1.5782 0.0000 2.3757
Fe 1.0239 2.0574 1.1878

12
Lattice="3.6999 0.0000 0.0000 0.0000 5.2288 0.0000 0.0000 0.0000 7.9001" Properties=species:S:1:pos:R:3 comment="Fe2Pt PBEsol relaxed" total_magnetization_mub_per_atom=1.907 sg="Pnma (62)" total_energy_ev_per_atom=-8.37 pbc="T T T"
Pt 0.9250 3.2792 4.6716
Fe 2.7749 4.6015 3.3354
Pt 0.9250 0.6648 7.1786
Fe 2.7749 4.5224 5.9883
Pt 2.7749 4.5640 0.7215
Fe 0.9250 3.2417 7.2855
Pt 2.7749 1.9496 3.2286
Fe 0.9250 0.7064 1.9118
Fe 2.7749 1.9080 5.8619
Fe 0.9250 0.6273 4.5647
Fe 2.7749 1.9871 0.6147
Fe 0.9250 3.3208 2.0382

6
Lattice="2.8360 0.0000 0.0000 0.0000 2.8360 0.0000 0.0000 0.0000 8.8249" Properties=species:S:1:pos:R:3 comment="Fe5Pt PBEsol relaxed" total_magnetization_mub_per_atom=2.157 sg="P4/mmm (123)" total_energy_ev_per_atom=-8.63 pbc="T T T"
Fe 0.0000 0.0000 7.1569
Fe 0.0000 0.0000 1.6680
Fe 0.0000 0.0000 4.4124
Pt 1.4180 1.4180 0.0000
Fe 1.4180 1.4180 3.0261
Fe 1.4180 1.4180 5.7988

4
Lattice="-3.1003 -1.8089 1.4006 2.1616 -1.5440 2.7909 -0.7490 3.0315 2.2572" Properties=species:S:1:pos:R:3 comment="FePt3 PBEsol relaxed" total_magnetization_mub_per_atom=1.071 sg="Pm-3m (221)" total_energy_ev_per_atom=-7.63 pbc="T T T"
Pt 0.7063 0.7438 2.5240
Pt -1.9247 0.6113 1.8289
Pt -0.4693 -1.6764 2.0958
Fe 0.0000 0.0000 0.0000

4
Lattice="3.7388 0.0000 0.0000 0.0000 3.7388 0.0000 -1.8694 -1.8694 3.8344" Properties=species:S:1:pos:R:3 comment="FePt PBEsol relaxed" total_magnetization_mub_per_atom=1.619 sg="I4_1/amd (141)" total_energy_ev_per_atom=-8.10 pbc="T T T"
Pt 1.8694 1.8694 0.0000
Fe 0.0000 1.8694 1.9172
Fe 0.0000 0.0000 0.0000
Pt 1.8694 0.0000 1.9172

4
Lattice="5.5015 0.0000 0.0000 2.7507 4.7644 0.0000 2.7507 1.5881 4.4919" Properties=species:S:1:pos:R:3 comment="Rb2FePt PBEsol relaxed" total_magnetization_mub_per_atom=0.989 sg="Fm-3m (225)" total_energy_ev_per_atom=-3.28 pbc="T T T"
Fe 0.0000 0.0000 0.0000
Rb 8.2522 4.7644 3.3690
Rb 2.7507 1.5881 1.1230
Pt 5.5015 3.1763 2.2460

4
Lattice="3.7601 0.0000 0.0000 0.0000 3.7601 0.0000 0.0000 0.0000 3.9200" Properties=species:S:1:pos:R:3 comment="FeRePt2 PBEsol relaxed" de_polymorph_mev_per_atom=164 total_magnetization_mub_per_atom=0.625 sg="P4/mmm (123)" total_energy_ev_per_atom=-9.01 pbc="T T T"
Pt 0.0000 1.8801 0.0000
Pt 1.8801 0.0000 0.0000
Fe 0.0000 0.0000 1.9600
Re 1.8801 1.8801 1.9600

4
Lattice="2.6753 0.0000 0.0000 0.0000 4.3680 0.0000 0.0000 0.0000 4.7916" Properties=species:S:1:pos:R:3 comment="FeRePt2 PBEsol relaxed" de_polymorph_mev_per_atom=0 total_magnetization_mub_per_atom=0.743 sg="Pmm2 (25)" total_energy_ev_per_atom=-9.17 pbc="T T T"
Pt 0.0000 2.1840 3.3816
Fe 1.3376 2.1840 1.0447
Re 1.3376 0.0000 2.5504
Pt 0.0000 0.0000 0.2105

4
Lattice="-1.5243 1.1430 -1.8906 -2.4267 -3.0844 0.0919 -2.8816 2.3793 3.7618" Properties=species:S:1:pos:R:3 comment="FeRePt2 PBEsol relaxed" de_polymorph_mev_per_atom=37 total_magnetization_mub_per_atom=0.713 sg="Pmmm (47)" total_energy_ev_per_atom=-9.14 pbc="T T T"
Pt -0.7213 0.5955 0.9416
Re -1.9755 -0.9707 -0.8994
Pt -2.1604 1.7837 2.8202
Fe -3.4163 0.2189 0.9816

32
Lattice="-2.0030 -1.7716 5.6945 3.3899 -4.6411 -2.5587 8.5142 3.8991 4.2077" Properties=species:S:1:pos:R:3 comment="Fe6PtRh PBEsol relaxed" total_magnetization_mub_per_atom=1.871 sg="Cmmm (65)" total_energy_ev_per_atom=-8.55 pbc="T T T"
Fe 1.4082 -3.9590 3.8981
Fe 4.1966 -0.5199 1.3327
Fe 4.1501 -2.9550 0.5531
Fe 7.1408 2.1649 5.5147
Rh -0.6574 -2.4875 3.6352
Fe 5.0170 1.1851 4.4564
Fe 0.6935 -3.2063 1.5679
Fe 5.7510 0.4414 6.7904
Fe 4.8841 -3.6987 2.8872
Rh 2.7959 -2.2435 2.6070
Fe 2.8540 0.1945 3.3874
Fe 8.4410 -0.9900 2.6737
Fe 7.0471 -2.7081 3.9561
Rh 7.1052 -0.2701 4.7366
Fe 6.3596 0.4707 2.4017
Fe 4.2571 1.9495 2.1039
Fe 0.7197 -0.7757 2.3414
Fe 0.0000 0.0000 0.0000
Rh 2.0443 -3.9251 -0.4994
Pt 6.4029 2.9322 3.1643
Fe 2.7603 -4.6785 1.8288
Fe 3.5415 -2.9843 4.9419
Fe 8.4929 1.4454 3.4455
Fe 7.8293 -1.0185 7.0714
Pt 3.5987 -0.5375 5.7407
Fe 4.9505 -1.2568 3.6718
Fe 1.4601 -1.5236 4.6699
Fe 2.0718 -1.4951 0.2722
Pt 6.3024 -1.9761 1.6029
Fe 9.1814 -1.7379 5.0021
Pt 2.1112 0.9668 1.0434
Fe 5.7045 -1.9937 6.0108

5
Lattice="4.4324 0.0000 0.0000 0.0000 4.4324 0.0000 0.0000 0.0000 4.4324" Properties=species:S:1:pos:R:3 comment="Fe3PtRh PBEsol relaxed" de_polymorph_mev_per_atom=0 total_magnetization_mub_per_atom=2.103 sg="Pm-3m (221)" total_energy_ev_per_atom=-6.96 pbc="T T T"
Rh 0.0000 0.0000 0.0000
Fe 2.2162 0.0000 0.0000
Pt 2.2162 2.2162 2.2162
Fe 0.0000 2.2162 0.0000
Fe 0.0000 0.0000 2.2162

6
Lattice="-1.2826 1.5174 4.2231 -0.5433 -3.0344 3.5043 3.0542 -0.0612 3.5286" Properties=species:S:1:pos:R:3 comment="Fe4PtRh PBEsol relaxed" total_magnetization_mub_per_atom=1.606 sg="F-43m (216)" total_energy_ev_per_atom=-8.51 pbc="T T T"
Fe 1.4095 -1.7457 4.9230
Pt 0.3071 -0.3945 2.8140
Fe 0.7678 -0.9865 7.0359
Rh 0.0000 0.0000 0.0000
Fe -0.7603 -0.9559 5.2705
Fe 1.0396 0.5317 5.2826

5
Lattice="4.6628 0.0000 0.0000 0.0000 4.6628 0.0000 0.0000 0.0000 4.6628" Properties=species:S:1:pos:R:3 comment="FePtRh3 PBEsol relaxed" total_magnetization_mub_per_atom=1.066 sg="Pm-3m (221)" total_energy_ev_per_atom=-6.14 pbc="T T T"
Pt 0.0000 0.0000 0.0000
Rh 2.3314 0.0000 0.0000
Fe 2.3314 2.3314 2.3314
Rh 0.0000 0.0000 2.3314
Rh 0.0000 2.3314 0.0000

5
Lattice="-3.3557 2.9200 0.2792 -0.8690 -1.3948 4.1430 2.8016 3.0648 1.6195" Properties=species:S:1:pos:R:3 comment="FeRuPt3 PBEsol relaxed" de_polymorph_mev_per_atom=0 total_magnetization_mub_per_atom=1.145 sg="Pm-3m (221)" total_energy_ev_per_atom=-6.54 pbc="T T T"
Pt 1.4008 1.5324 0.8097
Ru -0.7115 2.2950 3.0208
Fe 0.0000 0.0000 0.0000
Pt -1.6778 1.4600 0.1396
Pt -0.4345 -0.6974 2.0715

6
Lattice="5.1181 0.0000 0.0000 2.5590 4.4324 0.0000 2.5590 1.4775 4.1789" Properties=species:S:1:pos:R:3 comment="FeRuPt4 PBEsol relaxed" total_magnetization_mub_per_atom=0.972 sg="F-43m (216)" total_energy_ev_per_atom=-7.36 pbc="T T T"
Pt 5.1181 4.4317 1.5673
Fe 0.0000 0.0000 0.0000
Ru 7.6771 4.4324 3.1342
Pt 5.1181 2.9549 3.6558
Pt 6.3970 2.2165 1.5673
Pt 3.8392 2.2165 1.5673

4
Lattice="-2.3398 3.4454 1.6135 -0.2536 0.6573 4.4104 2.1193 3.4595 1.8678" Properties=species:S:1:pos:R:3 comment="FeSbPt2 PBEsol relaxed" total_magnetization_mub_per_atom=0.713 formation_energy_uncorrected_kj_per_mol_fu=2 sg="F-43m (216)" total_energy_ev_per_atom=-6.86 pbc="T T T"
Pt 0.0000 0.0000 0.0000
Pt -0.3556 5.6716 5.9188
Sb -0.1185 1.8905 1.9729
Fe -0.2370 3.7811 3.9459